Record 1
VASP calculation (PBE) on crystalline ZrHgPd3 at its relaxed geometry.

The structure in POSCAR format:
```
ZrHgPd3
1.0
4.934 0.000 0.000
0.000 4.934 0.000
0.000 0.000 4.934
Zr Hg Pd
1 1 3
direct
0.500 0.500 0.500 Zr
0.000 0.000 0.000 Hg
0.000 0.500 0.000 Pd
0.000 0.000 0.500 Pd
0.500 0.000 0.000 Pd
```

Calculated values
- Polymorph energy (0 for the lowest one): 1.187 eV per atom
- Fermi-level density of states: 7.79 states/eV/f.u.


Record 2
VASP calculation (PBE) on crystalline ZrHgPd3 at its relaxed geometry.

The structure in POSCAR format:
```
ZrHgPd3
1.0
-0.881 -2.237 4.324
4.835 0.105 1.039
-0.562 4.411 2.168
Zr Hg Pd
1 1 3
direct
0.000 0.000 0.000 Zr
0.500 0.500 0.500 Hg
0.000 0.500 0.000 Pd
0.000 0.000 0.500 Pd
0.500 0.000 0.000 Pd
```

Calculated values
- Polymorph energy (0 for the lowest one): 0.960 eV per atom
- Fermi-level density of states: 2.90 states/eV/f.u.


Record 3
VASP calculation (PBE) on crystalline ZrHg2Pd at its relaxed geometry.

The structure in POSCAR format:
```
ZrHg2Pd
1.0
-7.598 0.828 1.678
-0.099 -7.185 3.097
-3.165 -2.087 4.943
Zr Hg Pd
2 4 2
direct
0.500 0.500 0.000 Zr
0.250 0.750 0.500 Zr
0.644 0.125 0.250 Hg
0.106 0.625 0.250 Hg
0.375 0.356 0.750 Hg
0.875 0.894 0.750 Hg
0.000 0.000 0.000 Pd
0.750 0.250 0.500 Pd
```

Calculated values
- Fermi-level density of states: 4.21 states/eV/f.u.


Record 4
VASP calculation (PBE) on crystalline ZrHg2Pd at its relaxed geometry.

The structure in POSCAR format:
```
ZrHg2Pd
1.0
-0.611 0.720 -2.966
0.363 -2.143 -2.228
-9.956 -3.500 -0.431
Zr Hg Pd
1 2 1
direct
0.000 0.000 0.000 Zr
0.095 0.095 0.715 Hg
0.905 0.905 0.285 Hg
0.500 0.500 0.500 Pd
```

Calculated values
- Fermi-level density of states: 2.58 states/eV/f.u.


Record 5
VASP calculation (PBE) on crystalline ZrHg2Pd8 at its relaxed geometry.

The structure in POSCAR format:
```
ZrHg2Pd8
1.0
-0.478 3.898 -2.692
-3.028 -4.879 -3.554
-3.996 1.134 5.324
Zr Hg Pd
1 2 8
direct
0.870 0.134 0.134 Zr
0.638 0.654 0.365 Hg
0.638 0.365 0.654 Hg
0.366 0.269 0.992 Pd
0.366 0.992 0.269 Pd
0.134 0.507 0.507 Pd
0.997 0.096 0.546 Pd
0.997 0.546 0.096 Pd
0.003 0.827 0.827 Pd
0.495 0.952 0.691 Pd
0.495 0.691 0.952 Pd
```

Calculated values
- Polymorph energy (0 for the lowest one): 0.072 eV per atom
- Fermi-level density of states: 3.30 states/eV/f.u.


Record 6
VASP calculation (PBE) on crystalline PmHg15 at its relaxed geometry.

The structure in POSCAR format:
```
PmHg15
1.0
6.761 0.000 0.000
-3.381 5.856 0.000
0.000 0.000 10.772
Pm Hg
1 15
direct
0.000 0.000 0.000 Pm
0.000 0.000 0.500 Hg
0.018 0.509 0.000 Hg
0.985 0.492 0.500 Hg
0.491 0.982 0.000 Hg
0.508 0.015 0.500 Hg
0.491 0.509 0.000 Hg
0.508 0.492 0.500 Hg
0.832 0.168 0.243 Hg
0.832 0.168 0.757 Hg
0.832 0.664 0.243 Hg
0.832 0.664 0.757 Hg
0.336 0.168 0.243 Hg
0.336 0.168 0.757 Hg
0.333 0.667 0.268 Hg
0.333 0.667 0.732 Hg
```

Calculated values
- Fermi-level density of states: 6.28 states/eV/f.u.


Record 7
VASP calculation (PBE) on crystalline Pm5Hg2 at its relaxed geometry.

The structure in POSCAR format:
```
Pm5Hg2
1.0
6.291 0.000 -2.670
-1.488 7.363 -3.505
0.195 -0.245 9.205
Pm Hg
10 4
direct
0.080 0.247 0.161 Pm
0.920 0.753 0.839 Pm
0.580 0.914 0.161 Pm
0.420 0.086 0.839 Pm
0.480 0.730 0.460 Pm
0.020 0.270 0.540 Pm
0.520 0.270 0.540 Pm
0.980 0.730 0.460 Pm
0.750 0.500 0.000 Pm
0.250 0.500 0.000 Pm
0.371 0.651 0.743 Hg
0.629 0.349 0.257 Hg
0.871 0.091 0.743 Hg
0.129 0.909 0.257 Hg
```

Calculated values
- Polymorph energy (0 for the lowest one): 0.015 eV per atom
- Fermi-level density of states: 8.20 states/eV/f.u.


Record 8
VASP calculation (PBE) on crystalline PmHg7 at its relaxed geometry.

The structure in POSCAR format:
```
PmHg7
1.0
-2.209 -4.371 -4.557
4.052 -2.043 -4.916
2.330 -6.271 -0.025
Pm Hg
1 7
direct
0.000 0.000 0.000 Pm
0.500 0.500 0.000 Hg
0.500 0.000 0.500 Hg
0.000 0.500 0.500 Hg
0.500 0.000 0.000 Hg
0.000 0.500 0.000 Hg
0.000 0.000 0.500 Hg
0.500 0.500 0.500 Hg
```

Calculated values
- Polymorph energy (0 for the lowest one): 0.046 eV per atom
- Fermi-level density of states: 7.33 states/eV/f.u.


Record 9
VASP calculation (PBE) on crystalline Pm5Hg6 at its relaxed geometry.

The structure in POSCAR format:
```
Pm5Hg6
1.0
0.341 -3.745 -3.713
3.243 -4.681 5.019
-9.057 1.452 1.465
Pm Hg
5 6
direct
0.000 0.500 0.000 Pm
0.672 0.672 0.344 Pm
0.328 0.328 0.656 Pm
0.350 0.850 0.700 Pm
0.650 0.150 0.300 Pm
0.500 0.734 0.000 Hg
0.500 0.266 0.000 Hg
0.834 0.084 0.667 Hg
0.834 0.583 0.667 Hg
0.166 0.916 0.333 Hg
0.166 0.417 0.333 Hg
```

Calculated values
- Fermi-level density of states: 10.80 states/eV/f.u.


Record 10
VASP calculation (PBE) on crystalline Pm2Hg13 at its relaxed geometry.

The structure in POSCAR format:
```
Pm2Hg13
1.0
8.319 0.000 0.000
4.159 7.204 0.000
4.159 2.401 6.945
Pm Hg
2 13
direct
0.352 0.352 0.943 Pm
0.648 0.648 0.057 Pm
0.500 0.500 0.500 Hg
0.357 0.971 0.315 Hg
0.357 0.357 0.315 Hg
0.971 0.357 0.315 Hg
0.029 0.643 0.685 Hg
0.643 0.029 0.685 Hg
0.643 0.643 0.685 Hg
0.190 0.828 0.792 Hg
0.190 0.190 0.792 Hg
0.828 0.190 0.792 Hg
0.172 0.810 0.208 Hg
0.810 0.172 0.208 Hg
0.810 0.810 0.208 Hg
```

Calculated values
- Fermi-level density of states: 6.60 states/eV/f.u.


Record 11
VASP calculation (PBE) on crystalline Pm3Hg5 at its relaxed geometry.

The structure in POSCAR format:
```
Pm3Hg5
1.0
5.206 0.000 0.000
0.000 6.547 -0.015
0.000 -1.820 6.289
Pm Hg
3 5
direct
0.000 0.500 0.500 Pm
0.500 0.791 0.209 Pm
0.500 0.209 0.791 Pm
0.000 0.000 0.000 Hg
0.000 0.500 0.000 Hg
0.000 0.000 0.500 Hg
0.500 0.714 0.714 Hg
0.500 0.286 0.286 Hg
```

Calculated values
- Fermi-level density of states: 6.65 states/eV/f.u.


Record 12
VASP calculation (PBE) on crystalline Pm5Hg2 at its relaxed geometry.

The structure in POSCAR format:
```
Pm5Hg2
1.0
-6.159 -4.805 0.559
3.968 -4.808 2.389
1.367 5.472 7.245
Pm Hg
10 4
direct
0.220 0.523 0.169 Pm
0.050 0.977 0.831 Pm
0.192 0.769 0.537 Pm
0.654 0.731 0.463 Pm
0.808 0.231 0.463 Pm
0.346 0.269 0.537 Pm
0.950 0.023 0.169 Pm
0.780 0.477 0.831 Pm
0.476 0.250 0.000 Pm
0.524 0.750 0.000 Pm
0.133 0.480 0.767 Hg
0.366 0.020 0.233 Hg
0.867 0.520 0.233 Hg
0.634 0.980 0.767 Hg
```

Calculated values
- Polymorph energy (0 for the lowest one): 0.000 eV per atom
- Fermi-level density of states: 8.34 states/eV/f.u.


no.,E_form (meV/atom)
1,825
2,598
3,85
4,183
5,-299
6,-77
7,-218
8,-124
9,-386
10,-116
11,-444
12,-234